Compound: KY2NiSn
Source: Alexandria
Functional: GGA-PBE
Structure: relaxed

Properties
Its density is 3.9 g/cm³. The value obtained for the total DFT energy (no corrections) is -4.355 eV/atom. The volume comes out at 169.3 Å³/cell. The calculation puts the size of the total moment at 0.871 μB per formula unit.

Lattice parameters (Å, degrees): 5.895 5.895 4.871 90.00 90.00 90.00
Space group P4/mmm (No. 123)
Asymmetric unit:
K 0.000 0.000 0.000 (multiplicity 1)
Y 0.000 0.500 0.500 (multiplicity 2)
Ni 0.500 0.500 0.000 (multiplicity 1)
Sn 0.500 0.500 0.500 (multiplicity 1)


Compound: KZn2NiSn
Source: Alexandria
Functional: GGA-PBE
Structure: relaxed

Properties
Its density is 5.0 g/cm³. The value obtained for the total DFT energy (no corrections) is -2.720 eV/atom. The volume comes out at 115.3 Å³/cell. The calculation puts the size of the total moment at 0.000 μB per formula unit.

Lattice parameters (Å, degrees): 4.862 4.862 4.879 90.00 90.00 90.00
Space group P4/mmm (No. 123)
Asymmetric unit:
K 0.000 0.000 0.000 (multiplicity 1)
Zn 0.000 0.500 0.500 (multiplicity 2)
Ni 0.500 0.500 0.500 (multiplicity 1)
Sn 0.500 0.500 0.000 (multiplicity 1)


Compound: KZnNiSn2
Source: Alexandria
Functional: GGA-PBE
Structure: relaxed

Properties
Its density is 4.5 g/cm³. The value obtained for the total DFT energy (no corrections) is -2.453 eV/atom. The volume comes out at 149.1 Å³/cell. The calculation puts the size of the total moment at 0.000 μB per formula unit.

Lattice parameters (Å, degrees): 5.157 5.157 5.606 90.00 90.00 90.00
Space group P4/mmm (No. 123)
Asymmetric unit:
K 0.000 0.000 0.000 (multiplicity 1)
Zn 0.000 0.000 0.500 (multiplicity 1)
Ni 0.500 0.500 0.000 (multiplicity 1)
Sn 0.000 0.500 0.500 (multiplicity 2)


For the records above, the corresponding DFT formation energy values read 0.407; -0.034; 0.779 eV/atom.